# VCuF5, relaxed, DFT PBE+U
data_VCuF5
_chemical_formula_sum 'V2 Cu2 F10'
_cell_length_a 3.8884
_cell_length_b 6.4449
_cell_length_c 7.6428
_cell_angle_alpha 90.00
_cell_angle_beta 90.00
_cell_angle_gamma 90.00
_symmetry_space_group_name_H-M 'I m m m'
_symmetry_Int_Tables_number 71
_symmetry_space_group_name_Hall '-I 2 2'
loop_
_atom_site_label
_atom_site_fract_x
_atom_site_fract_y
_atom_site_fract_z
V1 0.0000 0.0000 0.0000
Cu1 0.0000 0.0000 0.5000
F1 0.0000 0.0000 0.2522
F2 0.0000 0.2942 0.0000
F3 0.0000 0.5000 0.5000
# * electronic total energy: -5.225 eV/atom
# * magnetic moment: 4.08 Bohr magnetons per cell